[1]
A relaxed SrYAl crystal, computed with GGA-PBE.

CIF file:
```
data_SrYAl
_cell_length_a 11.3724
_cell_length_b 5.1961
_cell_length_c 7.0641
_cell_angle_alpha 90.00
_cell_angle_beta 116.69
_cell_angle_gamma 90.00
_symmetry_space_group_name_H-M 'P 1'
_symmetry_Int_Tables_number 1
loop_
_symmetry_equiv_pos_as_xyz
'x,y,z'
loop_
_atom_site_label
_atom_site_type_symbol
_atom_site_fract_x
_atom_site_fract_y
_atom_site_fract_z
_atom_site_occupancy
Sr1 Sr 0.0000 0.0000 0.0000 1
Sr2 Sr 0.1356 0.5000 0.8182 1
Sr3 Sr 0.5000 0.5000 0.0000 1
Sr4 Sr 0.6356 0.0000 0.8182 1
Y1 Y 0.2534 0.0000 0.5486 1
Y2 Y 0.3986 0.5000 0.3871 1
Y3 Y 0.7534 0.5000 0.5486 1
Y4 Y 0.8986 0.0000 0.3871 1
Al1 Al 0.0949 0.5000 0.3316 1
Al2 Al 0.3285 0.0000 0.1065 1
Al3 Al 0.5949 0.0000 0.3316 1
Al4 Al 0.8285 0.5000 0.1065 1
```

Results
As for the symmetry: No. 8. The polymorph energy (0 for the lowest one) comes out at 127 meV per atom. Its magnetic moment is 0.000 Bohr magnetons per cell. The calculation puts the formation energy from the elements at -0.084 eV/atom. Its crystal system is monoclinic. As for the final energy: -4.05 eV/atom.

***

[2]
A relaxed Sm4PtCBr2 crystal, computed with GGA-PBE.

CIF file:
```
data_Sm4PtCBr2
_cell_length_a 7.2106
_cell_length_b 3.9079
_cell_length_c 7.6989
_cell_angle_alpha 90.00
_cell_angle_beta 107.67
_cell_angle_gamma 90.00
_symmetry_space_group_name_H-M 'P 1'
_symmetry_Int_Tables_number 1
loop_
_symmetry_equiv_pos_as_xyz
'x,y,z'
loop_
_atom_site_label
_atom_site_type_symbol
_atom_site_fract_x
_atom_site_fract_y
_atom_site_fract_z
_atom_site_occupancy
Sm1 Sm 0.2038 0.0000 0.1874 1
Sm2 Sm 0.2426 0.5000 0.8096 1
Sm3 Sm 0.7574 0.5000 0.1904 1
Sm4 Sm 0.7962 0.0000 0.8126 1
Pt1 Pt 0.5000 0.0000 0.0000 1
C1 C 0.0000 0.5000 0.0000 1
Br1 Br 0.0000 0.0000 0.5000 1
Br2 Br 0.5000 0.5000 0.5000 1
```

Results
Its raw formation energy is -0.98 eV/atom. As for the symmetry: No. 10. Its magnetic moment is 0.000 Bohr magnetons per cell. Its crystal system is monoclinic. As for the final energy: -5.67 eV/atom.

***

[3]
A relaxed VSb2Te2 crystal, computed with GGA-PBE.

CIF file:
```
data_VSb2Te2
_cell_length_a 7.4303
_cell_length_b 7.4303
_cell_length_c 5.0499
_cell_angle_alpha 90.00
_cell_angle_beta 90.00
_cell_angle_gamma 90.00
_symmetry_space_group_name_H-M 'P 1'
_symmetry_Int_Tables_number 1
loop_
_symmetry_equiv_pos_as_xyz
'x,y,z'
loop_
_atom_site_label
_atom_site_type_symbol
_atom_site_fract_x
_atom_site_fract_y
_atom_site_fract_z
_atom_site_occupancy
V1 V 0.0000 0.0000 0.0000 1
V2 V 0.5000 0.5000 0.0000 1
Sb1 Sb 0.1498 0.3502 0.5000 1
Sb2 Sb 0.3502 0.8502 0.5000 1
Sb3 Sb 0.6498 0.1498 0.5000 1
Sb4 Sb 0.8502 0.6498 0.5000 1
Te1 Te 0.1732 0.6732 0.0000 1
Te2 Te 0.3268 0.1732 0.0000 1
Te3 Te 0.6732 0.8268 0.0000 1
Te4 Te 0.8268 0.3268 0.0000 1
```

Results
Its raw formation energy is 0.34 eV/atom. As for the symmetry: No. 127. The polymorph energy (0 for the lowest one) comes out at 0 meV per atom. Its magnetic moment is 4.965 Bohr magnetons per cell. Its crystal system is tetragonal. As for the final energy: -4.39 eV/atom.

***

[4]
A relaxed PbAuN3 crystal, computed with GGA-PBE.

CIF file:
```
data_PbAuN3
_cell_length_a 4.3613
_cell_length_b 4.3613
_cell_length_c 4.3613
_cell_angle_alpha 90.00
_cell_angle_beta 90.00
_cell_angle_gamma 90.00
_symmetry_space_group_name_H-M 'P 1'
_symmetry_Int_Tables_number 1
loop_
_symmetry_equiv_pos_as_xyz
'x,y,z'
loop_
_atom_site_label
_atom_site_type_symbol
_atom_site_fract_x
_atom_site_fract_y
_atom_site_fract_z
_atom_site_occupancy
Pb1 Pb 0.0000 0.0000 0.0000 1
Au1 Au 0.5000 0.5000 0.5000 1
N1 N 0.0000 0.0000 0.5000 1
N2 N 0.0000 0.5000 0.0000 1
N3 N 0.5000 0.0000 0.0000 1
```

Results
Its raw formation energy is 2.47 eV/atom. As for the symmetry: No. 221. Its magnetic moment is 4.080 Bohr magnetons per cell. Its crystal system is cubic. As for the final energy: -3.92 eV/atom.

***

[5]
A relaxed ZnMoN crystal, computed with GGA-PBE.

CIF file:
```
data_ZnMoN
_cell_length_a 10.0651
_cell_length_b 10.0651
_cell_length_c 10.0651
_cell_angle_alpha 16.61
_cell_angle_beta 16.61
_cell_angle_gamma 16.61
_symmetry_space_group_name_H-M 'P 1'
_symmetry_Int_Tables_number 1
loop_
_symmetry_equiv_pos_as_xyz
'x,y,z'
loop_
_atom_site_label
_atom_site_type_symbol
_atom_site_fract_x
_atom_site_fract_y
_atom_site_fract_z
_atom_site_occupancy
Zn1 Zn 0.1316 0.1316 0.1316 1
Zn2 Zn 0.8684 0.8684 0.8684 1
Mo1 Mo 0.2932 0.2932 0.2932 1
Mo2 Mo 0.7068 0.7068 0.7068 1
N1 N 0.4163 0.4163 0.4163 1
N2 N 0.5837 0.5837 0.5837 1
```

Results
Its raw formation energy is -0.05 eV/atom. As for the symmetry: No. 166. Its magnetic moment is 0.000 Bohr magnetons per cell. Its crystal system is trigonal. As for the final energy: -6.86 eV/atom.

***

[6]
A relaxed CrNi2Rh crystal, computed with GGA-PBE.

CIF file:
```
data_CrNi2Rh
_cell_length_a 3.7026
_cell_length_b 6.7703
_cell_length_c 4.4111
_cell_angle_alpha 90.00
_cell_angle_beta 114.76
_cell_angle_gamma 90.00
_symmetry_space_group_name_H-M 'P 1'
_symmetry_Int_Tables_number 1
loop_
_symmetry_equiv_pos_as_xyz
'x,y,z'
loop_
_atom_site_label
_atom_site_type_symbol
_atom_site_fract_x
_atom_site_fract_y
_atom_site_fract_z
_atom_site_occupancy
Cr1 Cr 0.2315 0.2500 0.4645 1
Cr2 Cr 0.7685 0.7500 0.5355 1
Ni1 Ni 0.3589 0.5572 0.7160 1
Ni2 Ni 0.3589 0.9428 0.7160 1
Ni3 Ni 0.6411 0.0572 0.2840 1
Ni4 Ni 0.6411 0.4428 0.2840 1
Rh1 Rh 0.0644 0.7500 0.1275 1
Rh2 Rh 0.9356 0.2500 0.8725 1
```

Results
As for the symmetry: No. 11. Its magnetic moment is 0.000 Bohr magnetons per cell. The calculation puts the formation energy from the elements at 0.164 eV/atom. Its crystal system is monoclinic. As for the final energy: -6.97 eV/atom.

***

[7]
A relaxed TmBiRh3 crystal, computed with GGA-PBE.

CIF file:
```
data_TmBiRh3
_cell_length_a 7.2879
_cell_length_b 7.2879
_cell_length_c 7.2879
_cell_angle_alpha 132.92
_cell_angle_beta 73.78
_cell_angle_gamma 126.74
_symmetry_space_group_name_H-M 'P 1'
_symmetry_Int_Tables_number 1
loop_
_symmetry_equiv_pos_as_xyz
'x,y,z'
loop_
_atom_site_label
_atom_site_type_symbol
_atom_site_fract_x
_atom_site_fract_y
_atom_site_fract_z
_atom_site_occupancy
Tm1 Tm 0.3025 0.0525 0.2500 1
Tm2 Tm 0.6975 0.9475 0.7500 1
Bi1 Bi 0.0000 0.5000 0.5000 1
Bi2 Bi 0.5000 0.5000 0.0000 1
Rh1 Rh 0.1174 0.0000 0.6174 1
Rh2 Rh 0.1174 0.5000 0.1174 1
Rh3 Rh 0.2826 0.5326 0.7500 1
Rh4 Rh 0.7174 0.4674 0.2500 1
Rh5 Rh 0.8826 0.0000 0.3826 1
Rh6 Rh 0.8826 0.5000 0.8826 1
```

Results
As for the symmetry: No. 74. Its magnetic moment is 0.000 Bohr magnetons per cell. The calculation puts the formation energy from the elements at -0.261 eV/atom. Its crystal system is orthorhombic. As for the final energy: -6.34 eV/atom.

***

[8]
A relaxed CaErSnPt crystal, computed with GGA-PBE.

CIF file:
```
data_CaErSnPt
_cell_length_a 7.2425
_cell_length_b 7.2425
_cell_length_c 7.2425
_cell_angle_alpha 90.00
_cell_angle_beta 90.00
_cell_angle_gamma 90.00
_symmetry_space_group_name_H-M 'P 1'
_symmetry_Int_Tables_number 1
loop_
_symmetry_equiv_pos_as_xyz
'x,y,z'
loop_
_atom_site_label
_atom_site_type_symbol
_atom_site_fract_x
_atom_site_fract_y
_atom_site_fract_z
_atom_site_occupancy
Ca1 Ca 0.0000 0.0000 0.0000 1
Ca2 Ca 0.0000 0.5000 0.5000 1
Ca3 Ca 0.5000 0.0000 0.5000 1
Ca4 Ca 0.5000 0.5000 0.0000 1
Er1 Er 0.0000 0.0000 0.5000 1
Er2 Er 0.0000 0.5000 0.0000 1
Er3 Er 0.5000 0.0000 0.0000 1
Er4 Er 0.5000 0.5000 0.5000 1
Sn1 Sn 0.2500 0.2500 0.7500 1
Sn2 Sn 0.2500 0.7500 0.2500 1
Sn3 Sn 0.7500 0.2500 0.2500 1
Sn4 Sn 0.7500 0.7500 0.7500 1
Pt1 Pt 0.2500 0.2500 0.2500 1
Pt2 Pt 0.2500 0.7500 0.7500 1
Pt3 Pt 0.7500 0.2500 0.7500 1
Pt4 Pt 0.7500 0.7500 0.2500 1
```

Results
As for the symmetry: No. 216. Its magnetic moment is 0.000 Bohr magnetons per cell. The calculation puts the formation energy from the elements at -0.781 eV/atom. Its crystal system is cubic. As for the final energy: -4.93 eV/atom.

***

[9]
A relaxed LaTmHf crystal, computed with GGA-PBE.

CIF file:
```
data_LaTmHf
_cell_length_a 3.4206
_cell_length_b 3.4206
_cell_length_c 8.4783
_cell_angle_alpha 90.00
_cell_angle_beta 90.00
_cell_angle_gamma 120.00
_symmetry_space_group_name_H-M 'P 1'
_symmetry_Int_Tables_number 1
loop_
_symmetry_equiv_pos_as_xyz
'x,y,z'
loop_
_atom_site_label
_atom_site_type_symbol
_atom_site_fract_x
_atom_site_fract_y
_atom_site_fract_z
_atom_site_occupancy
La1 La 0.0000 0.0000 0.0000 1
Tm1 Tm 0.3333 0.6667 0.6240 1
Hf1 Hf 0.6667 0.3333 0.3209 1
```

Results
As for the symmetry: No. 156. The polymorph energy (0 for the lowest one) comes out at 19 meV per atom. Its magnetic moment is 0.000 Bohr magnetons per cell. The calculation puts the formation energy from the elements at 0.160 eV/atom. Its crystal system is trigonal. As for the final energy: -6.29 eV/atom.

***

[10]
A relaxed TbCeS4 crystal, computed with GGA-PBE.

CIF file:
```
data_TbCeS4
_cell_length_a 8.9784
_cell_length_b 9.0151
_cell_length_c 4.1734
_cell_angle_alpha 90.00
_cell_angle_beta 90.00
_cell_angle_gamma 90.00
_symmetry_space_group_name_H-M 'P 1'
_symmetry_Int_Tables_number 1
loop_
_symmetry_equiv_pos_as_xyz
'x,y,z'
loop_
_atom_site_label
_atom_site_type_symbol
_atom_site_fract_x
_atom_site_fract_y
_atom_site_fract_z
_atom_site_occupancy
Tb1 Tb 0.0000 0.0000 0.0000 1
Tb2 Tb 0.5000 0.5000 0.0000 1
Ce1 Ce 0.0000 0.5000 0.5000 1
Ce2 Ce 0.5000 0.0000 0.5000 1
S1 S 0.0000 0.3051 0.0000 1
S2 S 0.0000 0.6949 0.0000 1
S3 S 0.1994 0.0000 0.5000 1
S4 S 0.3006 0.5000 0.5000 1
S5 S 0.5000 0.1949 0.0000 1
S6 S 0.5000 0.8051 0.0000 1
S7 S 0.6994 0.5000 0.5000 1
S8 S 0.8006 0.0000 0.5000 1
```

Results
Its raw formation energy is -1.48 eV/atom. As for the symmetry: No. 65. The polymorph energy (0 for the lowest one) comes out at 0 meV per atom. Its magnetic moment is 0.000 Bohr magnetons per cell. Its crystal system is orthorhombic. As for the final energy: -5.99 eV/atom.

***

[11]
A relaxed CrReNi4 crystal, computed with GGA-PBE.

CIF file:
```
data_CrReNi4
_cell_length_a 4.4449
_cell_length_b 7.5074
_cell_length_c 4.4424
_cell_angle_alpha 90.00
_cell_angle_beta 110.71
_cell_angle_gamma 90.00
_symmetry_space_group_name_H-M 'P 1'
_symmetry_Int_Tables_number 1
loop_
_symmetry_equiv_pos_as_xyz
'x,y,z'
loop_
_atom_site_label
_atom_site_type_symbol
_atom_site_fract_x
_atom_site_fract_y
_atom_site_fract_z
_atom_site_occupancy
Cr1 Cr 0.0000 0.0000 0.0000 1
Cr2 Cr 0.5000 0.5000 0.0000 1
Re1 Re 0.0000 0.5000 0.5000 1
Re2 Re 0.5000 0.0000 0.5000 1
Ni1 Ni 0.0000 0.1656 0.5000 1
Ni2 Ni 0.0000 0.3323 0.0000 1
Ni3 Ni 0.0000 0.6677 0.0000 1
Ni4 Ni 0.0000 0.8344 0.5000 1
Ni5 Ni 0.5000 0.1677 0.0000 1
Ni6 Ni 0.5000 0.3344 0.5000 1
Ni7 Ni 0.5000 0.6656 0.5000 1
Ni8 Ni 0.5000 0.8323 0.0000 1
```

Results
As for the symmetry: No. 12. The polymorph energy (0 for the lowest one) comes out at 0 meV per atom. Its magnetic moment is 0.006 Bohr magnetons per cell. The calculation puts the formation energy from the elements at -0.034 eV/atom. Its crystal system is monoclinic. As for the final energy: -7.57 eV/atom.

***

[12]
A relaxed SrCaTl6 crystal, computed with GGA-PBE.

CIF file:
```
data_SrCaTl6
_cell_length_a 5.6529
_cell_length_b 7.2966
_cell_length_c 11.7090
_cell_angle_alpha 90.00
_cell_angle_beta 90.00
_cell_angle_gamma 90.00
_symmetry_space_group_name_H-M 'P 1'
_symmetry_Int_Tables_number 1
loop_
_symmetry_equiv_pos_as_xyz
'x,y,z'
loop_
_atom_site_label
_atom_site_type_symbol
_atom_site_fract_x
_atom_site_fract_y
_atom_site_fract_z
_atom_site_occupancy
Sr1 Sr 0.0000 0.0000 0.0000 1
Sr2 Sr 0.0000 0.5000 0.5000 1
Ca1 Ca 0.5000 0.0000 0.6954 1
Ca2 Ca 0.5000 0.5000 0.1954 1
Tl1 Tl 0.0000 0.0000 0.5160 1
Tl2 Tl 0.0000 0.2334 0.2589 1
Tl3 Tl 0.0000 0.2666 0.7589 1
Tl4 Tl 0.0000 0.5000 0.0160 1
Tl5 Tl 0.0000 0.7334 0.7589 1
Tl6 Tl 0.0000 0.7666 0.2589 1
Tl7 Tl 0.5000 0.0000 0.1840 1
Tl8 Tl 0.5000 0.2302 0.4363 1
Tl9 Tl 0.5000 0.2698 0.9363 1
Tl10 Tl 0.5000 0.5000 0.6840 1
Tl11 Tl 0.5000 0.7302 0.9363 1
Tl12 Tl 0.5000 0.7698 0.4363 1
```

Results
As for the symmetry: No. 38. The polymorph energy (0 for the lowest one) comes out at 12 meV per atom. Its magnetic moment is 0.000 Bohr magnetons per cell. The calculation puts the formation energy from the elements at -0.233 eV/atom. Its crystal system is orthorhombic. As for the final energy: -2.47 eV/atom.

***

Number 1: D(E_F) 0.409 states/eV/atom, ρ 3.6 g/cm³. Number 2: D(E_F) 0.654 states/eV/atom, ρ 7.8 g/cm³. Number 3: D(E_F) 0.936 states/eV/atom, ρ 6.5 g/cm³. Number 4: D(E_F) 0.465 states/eV/atom, ρ 8.9 g/cm³. Number 5: D(E_F) 0.278 states/eV/atom, ρ 8.0 g/cm³. Number 6: D(E_F) 0.837 states/eV/atom, ρ 9.0 g/cm³. Number 7: D(E_F) 0.815 states/eV/atom, ρ 10.3 g/cm³. Number 8: D(E_F) 0.640 states/eV/atom, ρ 9.1 g/cm³. Number 9: D(E_F) 1.187 states/eV/atom, ρ 9.4 g/cm³. Number 10: D(E_F) 1.048 states/eV/atom, ρ 4.2 g/cm³. Number 11: D(E_F) 0.877 states/eV/atom, ρ 11.3 g/cm³. Number 12: D(E_F) 0.609 states/eV/atom, ρ 9.3 g/cm³.